TbSm5ErIn2: relaxed, PBE.

ΔE_f: -17 meV per atom
SG: I4/mcm

abc: 7.7872 7.7872 11.1068
angles: 110.52 110.52 90.00
Sites, in units of the cell vectors:
Tb  0.2500  0.2500  0.5000
Tb  0.7500  0.7500  0.5000
Sm  0.9258  0.4258  0.2536
Sm  0.6722  0.1722  0.7464
Sm  0.0742  0.5742  0.7464
Sm  0.1722  0.0742  0.7464
Sm  0.5742  0.6722  0.7464
Sm  0.8278  0.9258  0.2536
Sm  0.4258  0.3278  0.2536
Sm  0.3278  0.8278  0.2536
Sm  0.5000  0.5000  0.0000
Sm  0.0000  0.0000  0.0000
Er  0.2500  0.7500  0.5000
Er  0.7500  0.2500  0.5000
In  0.1218  0.3782  0.0000
In  0.6218  0.1218  0.0000
In  0.3782  0.8782  0.0000
In  0.8782  0.6218  0.0000

Nb3SiAu: relaxed, PBE.

SG: Pm-3m
Raw formation energy: 1.6210 eV/atom
Polymorph energy (0 for the lowest one): 1.0521 eV/atom

abc: 4.9341 4.9341 4.9341
angles: 90.00 90.00 90.00
Sites, in units of the cell vectors:
Nb  0.0000  0.5000  0.0000
Nb  0.0000  0.0000  0.5000
Nb  0.5000  0.0000  0.0000
Au  0.0000  0.0000  0.0000
Si  0.5000  0.5000  0.5000

AgTe3Pd12: relaxed, PBE.

SG: P4/mmm
Raw formation energy: -0.1582 eV/atom

abc: 4.1108 4.1108 15.9311
angles: 90.00 90.00 90.00
Sites, in units of the cell vectors:
Ag  0.0000  0.0000  0.0000
Te  0.0000  0.0000  0.2364
Te  0.0000  0.0000  0.5000
Te  0.0000  0.0000  0.7636
Pd  0.5000  0.5000  0.0000
Pd  0.5000  0.5000  0.2544
Pd  0.5000  0.5000  0.5000
Pd  0.5000  0.5000  0.7456
Pd  0.5000  0.0000  0.1234
Pd  0.5000  0.0000  0.3756
Pd  0.5000  0.0000  0.6244
Pd  0.5000  0.0000  0.8766
Pd  0.0000  0.5000  0.1234
Pd  0.0000  0.5000  0.3756
Pd  0.0000  0.5000  0.6244
Pd  0.0000  0.5000  0.8766

Tb7Pm4Y: relaxed, PBE.

ΔE_f: 266 meV per atom
SG: C2/m
Polymorph energy (0 for the lowest one): 0.1822 eV/atom

abc: 5.9587 11.6795 6.7557
angles: 83.68 63.83 75.22
Sites, in units of the cell vectors:
Tb  0.7872  0.9229  0.5027
Tb  0.2128  0.0771  0.4973
Tb  0.0651  0.6824  0.1873
Tb  0.9349  0.3176  0.8127
Tb  0.3684  0.4975  0.7657
Tb  0.5000  0.0000  0.0000
Tb  0.6316  0.5025  0.2343
Pm  0.6392  0.2225  0.4991
Pm  0.3608  0.7775  0.5009
Pm  0.7677  0.6727  0.7918
Pm  0.2323  0.3273  0.2082
Y  0.0000  0.0000  0.0000

AgAsPt3: relaxed, PBE.

ΔE_f: 412 meV per atom
SG: Pm-3m
Polymorph energy (0 for the lowest one): 0.0000 eV/atom

abc: 4.6643 4.6643 4.6643
angles: 90.00 90.00 90.00
Sites, in units of the cell vectors:
As  0.0000  0.0000  0.0000
Ag  0.5000  0.5000  0.5000
Pt  0.0000  0.5000  0.0000
Pt  0.0000  0.0000  0.5000
Pt  0.5000  0.0000  0.0000

Ba2LiMn: relaxed, PBE.

ΔE_f: 386 meV per atom
SG: P4mm
Polymorph energy (0 for the lowest one): 0.0410 eV/atom

abc: 4.0237 4.0236 9.2256
angles: 90.00 90.00 90.00
Sites, in units of the cell vectors:
Ba  0.0000  0.0000  0.9255
Ba  0.5000  0.5000  0.3139
Li  0.0000  0.0000  0.5716
Mn  0.5000  0.5000  0.6891

NaNb2Os: relaxed, PBE.

ΔE_f: 811 meV per atom
SG: I-42d
Polymorph energy (0 for the lowest one): 0.3459 eV/atom

abc: 7.5034 7.5034 6.0277
angles: 51.51 51.51 90.00
Sites, in units of the cell vectors:
Na  0.5000  0.5000  0.0000
Na  0.2500  0.7500  0.5000
Nb  0.6730  0.1250  0.2500
Nb  0.0770  0.6250  0.2500
Nb  0.3750  0.3270  0.7500
Nb  0.8750  0.9230  0.7500
Os  0.0000  0.0000  0.0000
Os  0.7500  0.2500  0.5000

SrCaAs2Pd5: relaxed, PBE.

ΔE_f: -718 meV per atom
SG: P4/mmm

abc: 4.5846 4.5846 8.4373
angles: 90.00 90.00 90.00
Sites, in units of the cell vectors:
Sr  0.0000  0.0000  0.0000
Ca  0.0000  0.0000  0.5000
As  0.5000  0.5000  0.1735
As  0.5000  0.5000  0.8265
Pd  0.0000  0.5000  0.2814
Pd  0.5000  0.0000  0.2814
Pd  0.0000  0.5000  0.7186
Pd  0.5000  0.0000  0.7186
Pd  0.5000  0.5000  0.5000

no.,D(E_F) (states/eV/cell),size of the total moment (Bohr magnetons per cell)
1,21.21,0.00
2,6.55,0.00
3,11.54,0.00
4,19.79,0.03
5,2.28,0.00
6,4.71,4.12
7,7.10,0.00
8,3.18,0.00